[1]
The following is a DFT calculation (PBE) of a relaxed DyZr2NiN4 crystal.

The space group is Cmcm (No. 63) and the conventional cell measures 3.231, 10.917 and 11.108 Å, with angles of 90.00, 90.00 and 90.00 degrees. The inequivalent atoms are Dy at (0.000, 0.111, 0.250), Zr at (0.000, 0.368, 0.056), Ni at (0.000, 0.152, 0.750), N at (0.000, 0.000, 0.000), N at (0.000, 0.271, 0.617) and N at (0.000, 0.451, 0.250).

The value obtained for the formation energy (no corrections) is -1.28 eV/atom. The total energy comes out at -8.876 eV/atom.

***

[2]
The following is a DFT calculation (PBE) of a relaxed DyNpN3 crystal.

The space group is P2_13 (No. 198) and the conventional cell measures 6.650, 6.650 and 6.650 Å, with angles of 90.00, 90.00 and 90.00 degrees. The inequivalent atoms are Dy at (0.120, 0.380, 0.620), Np at (0.096, 0.904, 0.404) and N at (0.023, 0.707, 0.150).

The value obtained for the formation energy (no corrections) is -1.15 eV/atom. The total energy comes out at -9.652 eV/atom.

***

Q: Which of these has the lowest formation energy (no corrections)?
A: DyZr2NiN4

***

Q: Which value of total energy does entry 1 give?
A: -8.876 eV/atom